No. 1
Entry from Alexandria via LeMat-Bulk: a relaxed LiZn2Ag crystal (PBE-GGA).

## Properties
DOS at the Fermi energy (states/eV per cell): 0.56
Space group: Imm2 (44)
ΔE_f (meV per atom): -163
E (eV/cell): -7.966

abc: 4.9001 4.9001 4.9001
angles: 133.43 133.26 68.12
Last column: nearest neighbours and their distance in Å.
Element x y z (fractional)
Zn  0.0000  0.0000  0.0000  4 Ag 2.74, 4 Zn 2.80-2.81, 4 Li 2.81
Zn  0.2499  0.7499  0.5000  4 Li 2.74, 4 Zn 2.80-2.81, 4 Ag 2.81
Li  0.7501  0.2501  0.5000  8 Zn 2.74-2.81, 4 Ag 2.81
Ag  0.5001  0.5001  0.0000  8 Zn 2.74-2.81, 4 Li 2.81

---

No. 2
Entry from Alexandria via LeMat-Bulk: a relaxed Pr2SmCd2Sn2 crystal (PBE-GGA).

## Properties
DOS at the Fermi energy (states/eV per cell): 5.81
Space group: R-3m (166)
ΔE_f (meV per atom): -339
E (eV/cell): -26.486

abc: 4.9929 4.9929 9.6859
angles: 75.06 75.06 60.00
Last column: nearest neighbours and their distance in Å.
Element x y z (fractional)
Cd  0.4138  0.4138  0.7585  3 Sn 2.92, 3 Pr 3.21
Pr  0.8687  0.8687  0.3940  3 Cd 3.21, 3 Sn 3.44, 3 Pr 3.49
Pr  0.1313  0.1313  0.6060  3 Cd 3.21, 3 Sn 3.44, 3 Pr 3.49
Sn  0.2694  0.2694  0.1918  3 Cd 2.92
Cd  0.5862  0.5862  0.2415  3 Sn 2.92, 3 Pr 3.21
Sn  0.7306  0.7306  0.8082  3 Cd 2.92
Sm  0.0000  0.0000  0.0000  6 Sn 3.38, 2 Pr 3.64, 6 Cd 3.65

---

Across the entries above, magnetic moment takes the values 0.00, 0.00 μB per cell, respectively.